First-principles (PBE) data for crystalline YZn2Mo at its relaxed geometry, as listed in the Open Quantum Materials Database.

a = 6.6665 Å, b = 6.6665 Å, c = 6.6665 Å
α = 90.00°, β = 90.00°, γ = 90.00°
Last column: nearest neighbours and their distance in Å.
Fractional positions:
Y1 0.0000 0.0000 0.0000  4 Mo 2.89, 4 Zn 2.89
Y2 0.0000 0.5000 0.5000  4 Mo 2.89, 4 Zn 2.89
Y3 0.5000 0.0000 0.5000  4 Mo 2.89, 4 Zn 2.89
Y4 0.5000 0.5000 0.0000  4 Mo 2.89, 4 Zn 2.89
Zn1 0.0000 0.0000 0.5000  4 Zn 2.89, 4 Mo 2.89
Zn2 0.0000 0.5000 0.0000  4 Zn 2.89, 4 Mo 2.89
Zn3 0.2500 0.2500 0.7500  4 Zn 2.89, 4 Y 2.89
Zn4 0.2500 0.7500 0.2500  4 Zn 2.89, 4 Y 2.89
Zn5 0.5000 0.0000 0.0000  4 Zn 2.89, 4 Mo 2.89
Zn6 0.5000 0.5000 0.5000  4 Zn 2.89, 4 Mo 2.89
Zn7 0.7500 0.2500 0.2500  4 Zn 2.89, 4 Y 2.89
Zn8 0.7500 0.7500 0.7500  4 Y 2.89, 4 Zn 2.89
Mo1 0.2500 0.2500 0.2500  4 Zn 2.89, 4 Y 2.89
Mo2 0.2500 0.7500 0.7500  4 Zn 2.89, 4 Y 2.89
Mo3 0.7500 0.2500 0.7500  4 Zn 2.89, 4 Y 2.89
Mo4 0.7500 0.7500 0.2500  4 Zn 2.89, 4 Y 2.89

Computed properties:
raw total energy	-4.531	eV per atom
E_form	0.430	eV per atom